[1]
Pu3Si2Ge4 | PBE | optimized geometry

Geometry as extended XYZ:
```
9
Lattice="5.289 -2.187 0.000 5.289 2.187 0.000 -3.881 0.000 7.716" Properties=species:S:1:pos:R:3 pbc="T T T"
Pu 0.000 0.000 0.000
Pu 2.726 0.000 2.457
Pu 3.972 0.000 5.259
Si 0.945 0.000 5.359
Si 5.754 0.000 2.357
Ge -0.519 0.000 3.135
Ge -0.688 0.000 7.242
Ge 7.387 0.000 0.475
Ge 7.217 0.000 4.581
```

Calculated values
The formation energy (no corrections) comes out at -0.306 eV/atom. The calculated total energy is -8.34 eV per atom. As for the space group: C2/m, No. 12. The total moment comes out at 5.7 Bohr magnetons per cell. Its distance to the lowest polymorph of the same formula is 0.37 eV/f.u.


[2]
PuSi2Ge | PBE | optimized geometry

Geometry as extended XYZ:
```
12
Lattice="4.344 0.000 0.000 -2.172 3.762 0.000 0.000 0.000 14.061" Properties=species:S:1:pos:R:3 pbc="T T T"
Pu 0.000 0.000 0.000
Pu 0.000 2.508 9.374
Pu 2.172 1.254 4.687
Si 0.000 0.000 3.022
Si 0.000 0.000 11.039
Si 0.000 2.508 6.352
Si 0.000 2.508 12.396
Si 2.172 1.254 1.665
Si 2.172 1.254 7.709
Ge 0.000 0.000 7.031
Ge 0.000 2.508 2.344
Ge 2.172 1.254 11.718
```

Calculated values
The formation energy (no corrections) comes out at -0.057 eV/atom. The calculated total energy is -7.51 eV per atom. As for the space group: R-3m, No. 166. The total moment comes out at 16.8 Bohr magnetons per cell. Its distance to the lowest polymorph of the same formula is 1.00 eV/f.u.


[3]
PuSi2Ge | PBE | optimized geometry

Geometry as extended XYZ:
```
4
Lattice="4.125 0.000 0.000 0.000 4.125 0.000 0.000 0.000 4.098" Properties=species:S:1:pos:R:3 pbc="T T T"
Pu 0.000 0.000 0.000
Si 0.000 2.062 2.049
Si 2.062 0.000 2.049
Ge 2.062 2.062 0.000
```

Calculated values
The formation energy (no corrections) comes out at -0.308 eV/atom. The calculated total energy is -7.76 eV per atom. As for the space group: P4/mmm, No. 123. The total moment comes out at 4.6 Bohr magnetons per cell. Its distance to the lowest polymorph of the same formula is 0.00 eV/f.u.


[4]
Pu2Si3Ge | PBE | optimized geometry

Geometry as extended XYZ:
```
6
Lattice="3.951 0.000 0.000 0.000 4.097 0.000 0.000 0.000 7.096" Properties=species:S:1:pos:R:3 pbc="T T T"
Pu 0.000 0.000 0.000
Pu 0.000 2.049 3.478
Si 1.976 0.000 2.278
Si 1.976 2.049 1.170
Si 1.976 2.049 5.934
Ge 1.976 0.000 4.690
```

Calculated values
The formation energy (no corrections) comes out at -0.426 eV/atom. The calculated total energy is -8.68 eV per atom. As for the space group: Pmm2, No. 25. The total moment comes out at 0.0 Bohr magnetons per cell.


[5]
Pu2Si2Ge3 | PBE | optimized geometry

Geometry as extended XYZ:
```
14
Lattice="-4.183 4.183 4.183 4.183 -4.183 4.183 4.183 4.183 -4.183" Properties=species:S:1:pos:R:3 pbc="T T T"
Pu 4.214 -0.031 0.031
Pu 0.031 4.214 -0.031
Pu -0.031 0.031 4.214
Pu 4.153 4.153 4.153
Si 5.812 -1.629 1.629
Si 1.629 5.812 -1.629
Si 2.555 2.555 2.555
Si -1.629 1.629 5.812
Ge 4.183 2.092 -2.060
Ge 2.092 2.060 0.000
Ge 2.060 0.000 2.092
Ge 2.092 -2.060 4.183
Ge 0.000 2.092 2.060
Ge -2.060 4.183 2.092
```

Calculated values
The formation energy (no corrections) comes out at -0.049 eV/atom. The calculated total energy is -7.67 eV per atom. As for the space group: I2_13, No. 199. The total moment comes out at 21.6 Bohr magnetons per cell.


[6]
PuSiTc2Ge | PBE | optimized geometry

Geometry as extended XYZ:
```
10
Lattice="2.898 -5.278 0.000 2.898 5.278 0.000 0.000 0.000 5.792" Properties=species:S:1:pos:R:3 pbc="T T T"
Pu 2.898 2.665 4.344
Pu 2.898 -2.665 1.448
Si 2.898 1.342 1.448
Si 2.898 -1.342 4.344
Tc 1.483 0.000 0.000
Tc 1.483 0.000 2.896
Tc 4.313 0.000 0.000
Tc 4.313 0.000 2.896
Ge 2.898 3.840 1.448
Ge 2.898 -3.840 4.344
```

Calculated values
The formation energy (no corrections) comes out at -0.360 eV/atom. The calculated total energy is -9.38 eV per atom. As for the space group: Cmcm, No. 63. The total moment comes out at 10.3 Bohr magnetons per cell.


[7]
SmPu2Ge2 | PBE | optimized geometry

Geometry as extended XYZ:
```
10
Lattice="1.875 -7.271 0.000 1.875 7.271 0.000 0.000 0.000 8.715" Properties=species:S:1:pos:R:3 pbc="T T T"
Sm 1.875 5.829 4.358
Sm 1.875 -5.829 0.000
Pu 1.875 4.868 0.908
Pu 1.875 1.817 3.702
Pu 1.875 -1.817 8.059
Pu 1.875 -4.868 5.266
Ge 1.875 3.433 7.183
Ge 1.875 0.248 6.153
Ge 1.875 -0.248 1.796
Ge 1.875 -3.433 2.826
```

Calculated values
The calculated total energy is -8.94 eV per atom. For the formation energy, the calculation gives -0.4180 eV/atom. As for the space group: Cmc2_1, No. 36. The total moment comes out at 0.1 Bohr magnetons per cell. Its distance to the lowest polymorph of the same formula is 0.00 eV/f.u.


[8]
SmPu6Ge6 | PBE | optimized geometry

Geometry as extended XYZ:
```
13
Lattice="3.032 -5.081 0.000 3.032 5.081 0.000 0.000 0.000 9.579" Properties=species:S:1:pos:R:3 pbc="T T T"
Sm 0.000 0.000 0.000
Pu 1.516 2.540 2.208
Pu 1.516 2.540 7.371
Pu 1.516 -2.540 2.208
Pu 1.516 -2.540 7.371
Pu 3.032 0.000 2.983
Pu 3.032 0.000 6.596
Ge 0.000 0.000 2.993
Ge 0.000 0.000 6.586
Ge 3.032 2.761 4.789
Ge 3.032 1.270 0.000
Ge 3.032 -1.270 0.000
Ge 3.032 -2.761 4.789
```

Calculated values
The calculated total energy is -9.36 eV per atom. For the formation energy, the calculation gives -0.2550 eV/atom. As for the space group: Cmmm, No. 65. The total moment comes out at 10.0 Bohr magnetons per cell.


[9]
SmPu4Ge3 | PBE | optimized geometry

Geometry as extended XYZ:
```
16
Lattice="-3.957 3.957 6.228 3.957 -3.957 6.228 3.957 3.957 -6.228" Properties=species:S:1:pos:R:3 pbc="T T T"
Sm 0.000 0.000 0.000
Sm 0.000 0.000 6.228
Pu 2.726 -1.231 1.944
Pu 5.189 -1.231 4.283
Pu 5.189 1.231 1.944
Pu 2.726 1.231 4.283
Pu 1.231 2.726 1.944
Pu -1.231 2.726 4.283
Pu -1.231 5.189 1.944
Pu 1.231 5.189 4.283
Ge 2.816 1.141 0.000
Ge 0.000 0.000 3.114
Ge 2.816 -1.141 6.228
Ge 1.141 5.099 0.000
Ge 0.000 0.000 9.341
Ge 1.141 2.816 6.228
```

Calculated values
The calculated total energy is -9.92 eV per atom. For the formation energy, the calculation gives -0.4319 eV/atom. As for the space group: I4/mcm, No. 140. The total moment comes out at 46.2 Bohr magnetons per cell.


[10]
Sm5PuGe4 | PBE | optimized geometry

Geometry as extended XYZ:
```
10
Lattice="7.756 -2.547 0.000 7.756 2.547 0.000 -0.078 0.000 6.977" Properties=species:S:1:pos:R:3 pbc="T T T"
Sm 0.000 0.000 0.000
Sm 5.113 0.000 6.916
Sm 5.184 0.000 3.532
Sm 10.249 0.000 3.445
Sm 10.321 0.000 0.061
Pu -0.039 0.000 3.488
Ge 2.748 0.000 1.738
Ge 7.595 0.000 1.743
Ge 7.839 0.000 5.234
Ge 12.685 0.000 5.239
```

Calculated values
The calculated total energy is -6.20 eV per atom. For the formation energy, the calculation gives -0.5554 eV/atom. As for the space group: C2/m, No. 12. The total moment comes out at 6.0 Bohr magnetons per cell.


[11]
SmPu2Ge | PBE | optimized geometry

Geometry as extended XYZ:
```
4
Lattice="4.439 0.000 0.000 0.000 4.439 0.000 0.000 0.000 4.996" Properties=species:S:1:pos:R:3 pbc="T T T"
Sm 0.000 0.000 0.000
Pu 0.000 2.220 2.498
Pu 2.220 0.000 2.498
Ge 2.220 2.220 0.000
```

Calculated values
The calculated total energy is -9.77 eV per atom. For the formation energy, the calculation gives -0.2709 eV/atom. As for the space group: P4/mmm, No. 123. The total moment comes out at 11.9 Bohr magnetons per cell. Its distance to the lowest polymorph of the same formula is 0.00 eV/f.u.


[12]
Sm2PuGe2 | PBE | optimized geometry

Geometry as extended XYZ:
```
10
Lattice="7.804 0.000 0.000 0.000 7.804 0.000 0.000 0.000 4.184" Properties=species:S:1:pos:R:3 pbc="T T T"
Sm 1.384 2.518 0.000
Sm 2.518 6.420 0.000
Sm 5.286 1.384 0.000
Sm 6.420 5.286 0.000
Pu 0.000 0.000 2.092
Pu 3.902 3.902 2.092
Ge 0.927 4.829 2.092
Ge 2.974 0.927 2.092
Ge 4.829 6.876 2.092
Ge 6.876 2.974 2.092
```

Calculated values
The calculated total energy is -7.18 eV per atom. For the formation energy, the calculation gives -0.5824 eV/atom. As for the space group: P4/mbm, No. 127. The total moment comes out at 13.3 Bohr magnetons per cell.


Question: Look up the calculated total energy of the eleventh one.
Answer: -9.77 eV per atom